The following is a SCAN calculation of a crystal of Al2SiMo relaxed with PBEsol, from the Alexandria database.

Properties
Uncorrected energy: -15.0559 eV/atom

a b c (Å): 2.735 2.735 8.118
angles (deg): 90.00 90.00 100.99
Fractional coordinates of all 4 atoms:
Mo: 0.500 0.500 0.500
Si: 0.500 0.500 0.000
Al: 0.000 0.000 0.251
Al: 0.000 0.000 0.749

The following is a SCAN calculation of a crystal of Al2SiMo relaxed with PBEsol, from the Alexandria database.

Properties
Uncorrected energy: -15.3229 eV/atom

a b c (Å): 3.318 3.318 5.293
angles (deg): 90.00 90.00 90.00
Fractional coordinates of all 4 atoms:
Mo: 0.000 0.000 0.512
Si: 0.500 0.500 0.737
Al: 0.000 0.000 0.995
Al: 0.500 0.500 0.256

The following is a SCAN calculation of a crystal of AlSiMo2 relaxed with PBEsol, from the Alexandria database.

Properties
Energy above the most stable polymorph in this dataset: 635 meV per atom

a b c (Å): 5.337 5.517 5.517
angles (deg): 76.47 61.07 61.07
Fractional coordinates of all 8 atoms:
Mo: 0.098 0.027 0.527
Mo: 0.652 0.973 0.473
Mo: 0.375 0.527 0.973
Mo: 0.875 0.473 0.027
Si: 0.750 0.500 0.500
Si: 0.000 0.000 0.000
Al: 0.250 0.500 0.500
Al: 0.500 0.000 0.000

The following is a SCAN calculation of a crystal of Al2SiMo relaxed with PBEsol, from the Alexandria database.

Properties
Uncorrected energy: -15.1335 eV/atom

a b c (Å): 2.792 4.791 4.791
angles (deg): 113.75 90.00 90.00
Fractional coordinates of all 4 atoms:
Mo: 0.500 0.000 0.000
Si: 0.500 0.500 0.500
Al: 0.000 0.500 0.000
Al: 0.000 0.000 0.500

The following is a SCAN calculation of a crystal of AlSiMo2 relaxed with PBEsol, from the Alexandria database.

Properties
Energy above the most stable polymorph in this dataset: 210 meV per atom

a b c (Å): 3.216 4.065 4.400
angles (deg): 90.00 90.00 90.00
Fractional coordinates of all 4 atoms:
Mo: 0.000 0.000 0.000
Mo: 0.500 0.000 0.500
Si: 0.500 0.500 0.000
Al: 0.000 0.500 0.500

The following is a SCAN calculation of a crystal of AlSiMo2 relaxed with PBEsol, from the Alexandria database.

Properties
Energy above the most stable polymorph in this dataset: 209 meV per atom

a b c (Å): 4.309 4.309 4.309
angles (deg): 60.00 60.00 60.00
Fractional coordinates of all 4 atoms:
Mo: 0.000 0.000 0.000
Mo: 0.750 0.750 0.750
Si: 0.250 0.250 0.250
Al: 0.500 0.500 0.500

| no. | size of the total moment (μB/f.u.) |
| --- | --- |
| 1 | 0.0 |
| 2 | 0.0 |
| 3 | 0.0 |
| 4 | 0.0 |
| 5 | 0.0 |
| 6 | 0.0 |